1.
# CrTc2W

CrTc2W after structural relaxation (PBE, Alexandria via LeMat-Bulk).

The structure in POSCAR format:
```
CrTc2W
1.0
-3.4598 3.4598 2.5680
3.4598 -3.4598 2.5680
3.4598 3.4598 -2.5680
Cr Tc W
2 4 2
direct
0.0000 0.0000 0.0000
0.7500 0.2500 0.5000
0.1029 0.6250 0.9779
0.3750 0.3529 0.4779
0.6471 0.1250 0.0221
0.8750 0.8971 0.5221
0.2500 0.7500 0.5000
0.5000 0.5000 0.0000
```

VASP energy = -10.036 eV/atom
N(E_F) = 9.4 states/eV/cell
SG = I-42d, No. 122
Formation enthalpy at 0 K = 0.7914 eV per atom
Total moment = 0.00 μB per formula unit

---

2.
# Er6TcBi2

Er6TcBi2 after structural relaxation (PBE, Alexandria via LeMat-Bulk).

The structure in POSCAR format:
```
Er6TcBi2
1.0
8.2353 0.0000 0.0000
-4.1177 7.1320 0.0000
0.0000 0.0000 4.2723
Er Tc Bi
6 1 2
direct
0.0000 0.2325 0.0000
0.0000 0.6114 0.5000
0.2325 0.0000 0.0000
0.3886 0.3886 0.5000
0.6114 0.0000 0.5000
0.7675 0.7675 0.0000
0.0000 0.0000 0.5000
0.3333 0.6667 0.0000
0.6667 0.3333 0.0000
```

VASP energy = -5.548 eV/atom
N(E_F) = 4.7 states/eV/cell
SG = P-62m, No. 189
Formation enthalpy at 0 K = -0.4921 eV per atom
Total moment = 0.00 μB per formula unit

---

3.
# PrNpTe3Pd

PrNpTe3Pd after structural relaxation (PBE, Alexandria via LeMat-Bulk).

The structure in POSCAR format:
```
PrNpTe3Pd
1.0
8.4004 0.0000 0.0000
0.0000 4.3004 0.0000
-2.1568 0.0000 9.8604
Pr Np Te Pd
2 2 6 2
direct
0.1762 0.2500 0.2887
0.8238 0.7500 0.7113
0.3324 0.7500 0.8316
0.6676 0.2500 0.1684
0.0833 0.2500 0.8630
0.2651 0.7500 0.5262
0.3989 0.7500 0.1553
0.6011 0.2500 0.8447
0.7349 0.2500 0.4738
0.9167 0.7500 0.1370
0.0831 0.2500 0.5921
0.9169 0.7500 0.4079
```

VASP energy = -6.328 eV/atom
N(E_F) = 24.3 states/eV/cell
SG = P2_1/m, No. 11
Total moment = 3.98 μB per formula unit

---

4.
# NdThFeCu

NdThFeCu after structural relaxation (PBE, Alexandria via LeMat-Bulk).

The structure in POSCAR format:
```
NdThFeCu
1.0
0.0000 3.5316 3.5316
3.5316 0.0000 3.5316
3.5316 3.5316 0.0000
Nd Th Fe Cu
1 1 1 1
direct
0.0000 0.0000 0.0000
0.5000 0.5000 0.5000
0.2500 0.2500 0.2500
0.7500 0.7500 0.7500
```

VASP energy = -6.113 eV/atom
N(E_F) = 4.2 states/eV/cell
SG = F-43m, No. 216
Formation enthalpy at 0 K = 0.0734 eV per atom
Total moment = 1.10 μB per formula unit

---

5.
# BaLiSn3

BaLiSn3 after structural relaxation (PBE, Alexandria via LeMat-Bulk).

The structure in POSCAR format:
```
BaLiSn3
1.0
-2.3854 2.5947 5.9007
2.3854 -2.5947 5.9007
2.3854 2.5947 -5.9007
Ba Li Sn
1 1 3
direct
0.0000 0.0000 0.0000
0.6357 0.6357 0.0000
0.2452 0.7452 0.5000
0.4016 0.4016 0.0000
0.7594 0.2594 0.5000
```

VASP energy = -3.639 eV/atom
Energy above the most stable polymorph in this dataset = 0 meV/atom
N(E_F) = 1.5 states/eV/cell
SG = Imm2, No. 44
Formation enthalpy at 0 K = -0.4702 eV per atom
Total moment = 0.00 μB per formula unit

---

6.
# LiCaCdIn

LiCaCdIn after structural relaxation (PBE, Alexandria via LeMat-Bulk).

The structure in POSCAR format:
```
LiCaCdIn
1.0
0.0000 3.5744 3.5744
3.5744 0.0000 3.5744
3.5744 3.5744 0.0000
Li Ca Cd In
1 1 1 1
direct
0.0000 0.0000 0.0000
0.7500 0.7500 0.7500
0.5000 0.5000 0.5000
0.2500 0.2500 0.2500
```

VASP energy = -2.225 eV/atom
N(E_F) = 1.4 states/eV/cell
SG = F-43m, No. 216
Formation enthalpy at 0 K = -0.3326 eV per atom
Total moment = 0.00 μB per formula unit

---

7.
# Ba2MgSb

Ba2MgSb after structural relaxation (PBE, Alexandria via LeMat-Bulk).

The structure in POSCAR format:
```
Ba2MgSb
1.0
0.0000 4.2601 4.2601
4.2601 0.0000 4.2601
4.2601 4.2601 0.0000
Ba Mg Sb
2 1 1
direct
0.2500 0.2500 0.2500
0.7500 0.7500 0.7500
0.0000 0.0000 0.0000
0.5000 0.5000 0.5000
```

VASP energy = -2.897 eV/atom
Energy above the most stable polymorph in this dataset = 46 meV/atom
N(E_F) = 5.1 states/eV/cell
SG = Fm-3m, No. 225
Total moment = 0.00 μB per formula unit

---

8.
# AcSbPb2

AcSbPb2 after structural relaxation (PBE, Alexandria via LeMat-Bulk).

The structure in POSCAR format:
```
AcSbPb2
1.0
4.3438 0.0000 0.0000
0.0000 4.3438 0.0000
0.0000 0.0000 6.9186
Ac Sb Pb
1 1 2
direct
0.0000 0.0000 0.0000
0.0000 0.0000 0.5000
0.5000 0.5000 0.2755
0.5000 0.5000 0.7245
```

VASP energy = -4.161 eV/atom
Energy above the most stable polymorph in this dataset = 237 meV/atom
N(E_F) = 4.7 states/eV/cell
SG = P4/mmm, No. 123
Total moment = 0.00 μB per formula unit

---

9.
# BaMg4Hg

BaMg4Hg after structural relaxation (PBE, Alexandria via LeMat-Bulk).

The structure in POSCAR format:
```
BaMg4Hg
1.0
8.9002 0.0000 0.0000
0.0000 4.6636 0.0000
0.0000 0.0000 8.2794
Ba Mg Hg
2 8 2
direct
0.2500 0.0000 0.1098
0.7500 0.0000 0.8902
0.0000 0.0000 0.5000
0.0616 0.5000 0.7863
0.2500 0.5000 0.4524
0.4384 0.5000 0.7863
0.5000 0.0000 0.5000
0.5616 0.5000 0.2137
0.7500 0.5000 0.5476
0.9384 0.5000 0.2137
0.2500 0.0000 0.7002
0.7500 0.0000 0.2998
```

VASP energy = -1.611 eV/atom
Energy above the most stable polymorph in this dataset = 0 meV/atom
N(E_F) = 6.3 states/eV/cell
SG = Pmma, No. 51
Formation enthalpy at 0 K = -0.1770 eV per atom
Total moment = 0.00 μB per formula unit

---

10.
# Pm4SbAu

Pm4SbAu after structural relaxation (PBE, Alexandria via LeMat-Bulk).

The structure in POSCAR format:
```
Pm4SbAu
1.0
2.8214 -10.5534 0.0000
2.8214 10.5534 0.0000
0.0000 0.0000 6.4240
Pm Sb Au
8 2 2
direct
0.0565 0.9435 0.7500
0.2072 0.7928 0.5026
0.2072 0.7928 0.9974
0.3846 0.6154 0.7500
0.6154 0.3846 0.2500
0.7928 0.2072 0.0026
0.7928 0.2072 0.4974
0.9435 0.0565 0.2500
0.3476 0.6524 0.2500
0.6524 0.3476 0.7500
0.0803 0.9197 0.2500
0.9197 0.0803 0.7500
```

VASP energy = -4.915 eV/atom
N(E_F) = 12.4 states/eV/cell
SG = Cmcm, No. 63
Total moment = 0.00 μB per formula unit

---

11.
# PrHoMgAu

PrHoMgAu after structural relaxation (PBE, Alexandria via LeMat-Bulk).

The structure in POSCAR format:
```
PrHoMgAu
1.0
3.7497 0.0000 0.0000
0.0000 3.7497 0.0000
0.0000 0.0000 7.4661
Pr Ho Mg Au
1 1 1 1
direct
0.0000 0.0000 0.0000
0.0000 0.0000 0.4699
0.5000 0.5000 0.7225
0.5000 0.5000 0.2705
```

VASP energy = -4.008 eV/atom
Energy above the most stable polymorph in this dataset = 0 meV/atom
N(E_F) = 3.8 states/eV/cell
SG = P4mm, No. 99
Formation enthalpy at 0 K = -0.4504 eV per atom
Total moment = 0.00 μB per formula unit

---

12.
# GeBiAu2

GeBiAu2 after structural relaxation (PBE, Alexandria via LeMat-Bulk).

The structure in POSCAR format:
```
GeBiAu2
1.0
0.0000 3.5202 3.5202
3.5202 0.0000 3.5202
3.5202 3.5202 0.0000
Ge Bi Au
1 1 2
direct
0.0000 0.0000 0.0000
0.5000 0.5000 0.5000
0.2500 0.2500 0.2500
0.7500 0.7500 0.7500
```

VASP energy = -3.649 eV/atom
Energy above the most stable polymorph in this dataset = 123 meV/atom
N(E_F) = 2.0 states/eV/cell
SG = Fm-3m, No. 225
Formation enthalpy at 0 K = 0.1141 eV per atom
Total moment = 0.00 μB per formula unit

---

Repeat the tenth record exactly.
# Pm4SbAu

Pm4SbAu after structural relaxation (PBE, Alexandria via LeMat-Bulk).

The structure in POSCAR format:
```
Pm4SbAu
1.0
2.8214 -10.5534 0.0000
2.8214 10.5534 0.0000
0.0000 0.0000 6.4240
Pm Sb Au
8 2 2
direct
0.0565 0.9435 0.7500
0.2072 0.7928 0.5026
0.2072 0.7928 0.9974
0.3846 0.6154 0.7500
0.6154 0.3846 0.2500
0.7928 0.2072 0.0026
0.7928 0.2072 0.4974
0.9435 0.0565 0.2500
0.3476 0.6524 0.2500
0.6524 0.3476 0.7500
0.0803 0.9197 0.2500
0.9197 0.0803 0.7500
```

VASP energy = -4.915 eV/atom
N(E_F) = 12.4 states/eV/cell
SG = Cmcm, No. 63
Total moment = 0.00 μB per formula unit

---

What is the formula in the fourth record?
NdThFeCu